VASP calculation (PBE-GGA) on Dy5N4 after structural relaxation.

## Properties
As for the formation energy (no corrections): -1.203 eV/atom. The electronic total energy is -67.13 eV per cell.

Unit cell a=3.5247 b=7.0212 c=7.0212 alpha=86.39 beta=75.46 gamma=75.46
Fractional positions:
Dy: 0.4059 0.3538 0.8344
N: 0.1194 0.0872 0.6739
Dy: 0.7597 0.8344 0.6462
Dy: 0.5941 0.6462 0.1656
N: 0.8806 0.9128 0.3261
N: 0.7933 0.3261 0.0872
Dy: 0.2403 0.1656 0.3538
N: 0.2067 0.6739 0.9128
Dy: 0.0000 0.0000 0.0000

***

VASP calculation (PBE-GGA) on SnHg2I8 after structural relaxation.

## Properties
As for the formation energy (no corrections): -0.246 eV/atom. The electronic total energy is -19.72 eV per cell.

Unit cell a=7.5655 b=8.7863 c=8.7863 alpha=70.84 beta=99.28 gamma=99.28
Fractional positions:
I: 0.8007 0.8809 0.2953
I: 0.1993 0.7047 0.1191
I: 0.7305 0.8305 0.8305
Hg: 0.2909 0.7968 0.7968
I: 0.2695 0.1695 0.1695
I: 0.1993 0.1191 0.7047
I: 0.6540 0.3830 0.3830
Sn: 0.0000 0.0000 0.0000
I: 0.8007 0.2953 0.8809
I: 0.3460 0.6170 0.6170
Hg: 0.7091 0.2032 0.2032

***

Number 1: energy above the most stable polymorph in this dataset 0.0 kJ per mole of atoms. Number 2: energy above the most stable polymorph in this dataset 0.0 kJ per mole of atoms.